Record 1
# Tb2Pt17

Tb2Pt17 after structural relaxation (PBE, Alexandria via LeMat-Bulk).

Cell and atoms, written as POSCAR:
```
Tb2Pt17
1.0
-4.385 1.619 5.174
3.807 -2.733 5.163
3.150 5.925 1.897
Pt Tb
17 2
Cartesian
3.833 2.354 5.469 Pt
-1.819 0.256 5.171 Pt
-1.261 2.456 6.766 Pt
2.434 4.568 5.159 Pt
1.575 2.962 0.949 Pt
0.139 0.243 7.076 Pt
0.282 0.528 1.343 Pt
3.356 3.213 2.920 Pt
-2.025 2.967 4.148 Pt
2.756 0.323 6.760 Pt
-0.184 4.488 5.474 Pt
1.904 -1.366 2.581 Pt
2.290 4.282 10.891 Pt
-2.192 0.809 2.587 Pt
0.790 4.576 2.924 Pt
3.601 -0.021 4.140 Pt
1.242 -1.370 5.167 Pt
1.710 3.197 8.132 Tb
0.863 1.613 4.103 Tb
```

energy relative to the elements	-0.40	eV per atom
total moment	0.00	μB per formula unit
VASP energy	-0.4625	Ry per atom

=====

Record 2
# CeSm2Fe9

CeSm2Fe9 after structural relaxation (PBE, Alexandria via LeMat-Bulk).

Cell and atoms, written as POSCAR:
```
CeSm2Fe9
1.0
4.898 0.000 1.458
2.232 4.359 1.458
0.046 0.028 8.803
Fe Ce Sm
9 1 2
Cartesian
4.167 2.548 8.354 Fe
3.588 2.194 5.859 Fe
4.115 4.001 4.087 Fe
2.371 1.450 0.992 Fe
1.738 2.548 7.631 Fe
4.804 2.938 10.727 Fe
5.437 1.839 4.087 Fe
3.008 1.839 3.365 Fe
3.060 0.386 7.631 Fe
0.000 0.000 0.000 Ce
6.141 3.755 6.237 Sm
1.034 0.633 5.481 Sm
```

energy relative to the elements	0.00	eV per atom
total moment	17.57	μB per formula unit
VASP energy	-0.5604	Ry per atom

=====

Record 3
# KHg2SbS4

KHg2SbS4 after structural relaxation (PBE, Alexandria via LeMat-Bulk).

Cell and atoms, written as POSCAR:
```
KHg2SbS4
1.0
6.980 0.000 0.000
3.490 5.889 -0.089
3.490 0.394 5.877
S Hg Sb K
4 2 1 1
Cartesian
5.376 0.996 2.880 S
5.376 5.287 2.908 S
8.584 2.951 0.756 S
8.584 3.332 5.031 S
10.470 4.350 4.007 Hg
3.490 1.933 1.780 Hg
6.980 3.142 2.894 Sb
0.000 0.000 0.000 K
```

total moment	0.00	μB per formula unit
VASP energy	-0.2296	Ry per atom
formation energy without anion corrections	-0.3321	eV/atom

=====

Record 4
# MgMn2Ag2

MgMn2Ag2 after structural relaxation (PBE, Alexandria via LeMat-Bulk).

Cell and atoms, written as POSCAR:
```
MgMn2Ag2
1.0
-1.877 1.877 6.680
1.877 -1.877 6.680
1.877 1.877 -6.680
Mn Mg Ag
2 1 2
Cartesian
1.877 0.000 3.340 Mn
0.000 1.877 3.340 Mn
0.000 0.000 0.000 Mg
0.000 0.000 8.039 Ag
0.000 0.000 5.321 Ag
```

energy relative to the elements	0.37	eV per atom
total moment	7.66	μB per formula unit
VASP energy	-0.3494	Ry per atom

=====

Record 5
# BeCdO2

BeCdO2 after structural relaxation (PBE, Alexandria via LeMat-Bulk).

Cell and atoms, written as POSCAR:
```
BeCdO2
1.0
-1.707 5.356 -0.037
-2.600 3.991 2.986
0.634 5.018 2.454
O Cd Be
2 1 1
Cartesian
-0.333 1.302 0.490 O
-3.340 13.064 4.913 O
-1.837 7.183 2.701 Cd
0.000 0.000 0.000 Be
```

total moment	0.00	μB per formula unit
VASP energy	-0.3817	Ry per atom
formation energy without anion corrections	-1.5542	eV/atom

=====

Record 6
# Tm2Sc4Tl

Tm2Sc4Tl after structural relaxation (PBE, Alexandria via LeMat-Bulk).

Cell and atoms, written as POSCAR:
```
Tm2Sc4Tl
1.0
5.382 0.000 0.000
0.000 5.940 0.000
0.000 -2.970 6.408
Sc Tl Tm
4 1 2
Cartesian
2.691 0.000 4.782 Sc
0.000 0.000 3.383 Sc
0.000 2.970 3.025 Sc
2.691 2.970 1.625 Sc
0.000 2.970 0.000 Tl
2.691 0.000 1.646 Tm
2.691 2.970 4.761 Tm
```

energy relative to the elements	0.52	eV per atom
total moment	1.07	μB per formula unit
VASP energy	-0.3468	Ry per atom